Entry 1:
Material: Ca2Al2H
Method: DFT, PBE-GGA
State: relaxed

Cell: 3.7517 3.7517 17.2954 Å, 90.00 90.00 90.00°
Last column: nearest neighbours and their distance in Å.
Sites, in units of the cell vectors:
Ca 0.0000 0.0000 0.1005  4 H 3.17, 4 Al 3.19, 1 Ca 3.48
Ca 0.0000 0.0000 0.8995  4 H 3.17, 4 Al 3.19, 1 Ca 3.48
Ca 0.5000 0.5000 0.3995  4 H 3.17, 4 Al 3.19, 1 Ca 3.48
Ca 0.5000 0.5000 0.6005  4 H 3.17, 4 Al 3.19, 1 Ca 3.48
Al 0.0000 0.5000 0.2500  4 Al 2.65
Al 0.0000 0.5000 0.7500  4 Al 2.65
Al 0.5000 0.0000 0.2500  4 Al 2.65
Al 0.5000 0.0000 0.7500  4 Al 2.65
H 0.0000 0.0000 0.5000  8 Ca 3.17
H 0.5000 0.5000 0.0000  8 Ca 3.17

Calculated values
As for the space-group type: No. 139. The total energy comes out at -2.82 eV per atom.

Entry 2:
Material: CdBi3I
Method: DFT, PBE-GGA
State: relaxed

Cell: 5.7586 5.7586 5.7586 Å, 90.00 90.00 90.00°
Last column: nearest neighbours and their distance in Å.
Sites, in units of the cell vectors:
Cd 0.0000 0.0000 0.0000  6 Bi 2.88
Bi 0.0000 0.0000 0.5000  2 Cd 2.88
Bi 0.0000 0.5000 0.0000  2 Cd 2.88
Bi 0.5000 0.0000 0.0000  2 Cd 2.88
I 0.5000 0.5000 0.5000  12 Bi 4.07

Calculated values
As for the space-group type: No. 221. The total energy comes out at -2.25 eV per atom.